This record from the Alexandria database describes CuNi2Ru after structural relaxation. The functional is PBE.

Values from the calculation:
Theoretical density   9.58 g cm⁻³
Magnetic moment   2.04 μB/cell
Polymorph energy (0 for the lowest one)   180 meV per atom
Calculated total energy   -5.968 eV per atom

Cell lengths 2.653, 4.266, 4.318 Å; angles 90.00, 90.00, 90.00 degrees
Space group Pmmm (No. 47)
Inequivalent atoms, fractional coordinates:
Cu  0.000  0.000  0.000
Ni  0.000  0.500  0.500
Ni  0.500  0.500  0.000
Ru  0.500  0.000  0.500

This record from the Alexandria database describes SrPm2Si after structural relaxation. The functional is PBE.

Values from the calculation:
Uncorrected formation energy   -0.16 eV per atom
Theoretical density   4.98 g cm⁻³
Magnetic moment   0.00 μB/cell
Polymorph energy (0 for the lowest one)   0 meV per atom
Calculated total energy   -4.316 eV per atom

Cell lengths 3.790, 3.790, 9.417 Å; angles 90.00, 90.00, 90.00 degrees
Space group P4/mmm (No. 123)
Inequivalent atoms, fractional coordinates:
Sr  0.000  0.000  0.000
Pm  0.500  0.500  0.336
Si  0.000  0.000  0.500

This record from the Alexandria database describes Sc3ZnNi3 after structural relaxation. The functional is PBE.

Values from the calculation:
Theoretical density   5.47 g cm⁻³
Magnetic moment   0.00 μB/cell
Calculated total energy   -5.853 eV per atom

Cell lengths 4.072, 9.230, 12.166 Å; angles 90.00, 90.00, 90.00 degrees
Space group Cmcm (No. 63)
Inequivalent atoms, fractional coordinates:
Sc  0.000  0.021  0.250
Sc  0.000  0.301  0.105
Zn  0.000  0.000  0.000
Ni  0.000  0.261  0.750
Ni  0.000  0.410  0.592

This record from the Alexandria database describes TiZn2Ga after structural relaxation. The functional is PBE.

Values from the calculation:
Theoretical density   6.50 g cm⁻³
Magnetic moment   0.00 μB/cell
Calculated total energy   -3.427 eV per atom

Cell lengths 3.023, 3.023, 6.948 Å; angles 90.00, 90.00, 90.00 degrees
Space group P4/mmm (No. 123)
Inequivalent atoms, fractional coordinates:
Ti  0.000  0.000  0.000
Zn  0.500  0.500  0.256
Ga  0.000  0.000  0.500

Look up the calculated total energy of the fourth one.
-3.427 eV per atom